Below is a relaxed Tl3GaPd6 crystal, with properties calculated at the GGA-PBE level.

## Properties
formation energy: -0.16 eV per atom
spin magnetization: 0.00 μB per formula unit
DOS(E_F): 0.420 states/eV per atom
volume: 18.80 Å³/atom
crystal system: orthorhombic

Cell lengths 5.2440, 8.4996, 8.4996 Å; angles 96.96, 90.00, 90.00 degrees
Last column: nearest neighbours and their distance in Å.
Atoms (fractional coordinates):
Tl1 0.0077 0.3904 0.6096  1 Ga 2.86, 7 Pd 2.86-3.09
Tl2 0.1460 0.7164 0.8724  7 Pd 2.76-2.91
Tl3 0.6460 0.8724 0.7164  7 Pd 2.76-2.91
Tl4 0.6460 0.2836 0.1276  7 Pd 2.76-2.91
Tl5 0.5077 0.6096 0.3904  1 Ga 2.86, 7 Pd 2.86-3.09
Tl6 0.1460 0.1276 0.2836  7 Pd 2.76-2.91
Pd1 0.2485 0.4279 0.9790  1 Ga 2.49, 1 Tl 2.77
Pd2 0.1306 0.7837 0.2163  2 Ga 2.62-2.75, 2 Tl 2.91
Pd3 0.5279 0.5402 0.7117  5 Tl 2.76-3.09, 4 Pd 2.84-2.96
Pd4 0.7485 0.9790 0.4279  1 Ga 2.49, 1 Tl 2.77
Pd5 0.6306 0.2163 0.7837  2 Ga 2.62-2.75, 2 Tl 2.91
Pd6 0.0279 0.7117 0.5402  5 Tl 2.76-3.09, 4 Pd 2.84-2.96
Pd7 0.2485 0.0210 0.5721  1 Ga 2.49, 1 Tl 2.77
Pd8 0.3844 0.0055 0.9945  2 Ga 2.52-2.55, 2 Pd 2.63
Pd9 0.0279 0.4598 0.2883  5 Tl 2.76-3.09, 4 Pd 2.84-2.96
Pd10 0.7485 0.5721 0.0210  1 Ga 2.49, 1 Tl 2.77
Pd11 0.8844 0.9945 0.0055  2 Ga 2.52-2.55, 2 Pd 2.63
Pd12 0.5279 0.2883 0.4598  5 Tl 2.76-3.09, 4 Pd 2.84-2.96
Ga1 0.1178 0.1706 0.8294  6 Pd 2.49-2.75
Ga2 0.6178 0.8294 0.1706  6 Pd 2.49-2.75

Below is a relaxed Sm3TmTl4 crystal, with properties calculated at the GGA-PBE level.

## Properties
formation energy: -0.36 eV per atom
spin magnetization: 0.00 μB per formula unit
DOS(E_F): 0.717 states/eV per atom
energy above the most stable polymorph in this dataset: 0 meV/atom
volume: 28.20 Å³/atom
crystal system: tetragonal

Cell lengths 3.8107, 3.8107, 15.5334 Å; angles 90.00, 90.00, 90.00 degrees
Last column: nearest neighbours and their distance in Å.
Atoms (fractional coordinates):
Tm1 0.5000 0.5000 0.0000  8 Tl 3.24
Tl1 0.0000 0.0000 0.8837  4 Tm 3.24, 4 Sm 3.35, 1 Tl 3.61
Tl2 0.0000 0.0000 0.3719  8 Sm 3.34-3.35
Tl3 0.0000 0.0000 0.1163  4 Tm 3.24, 4 Sm 3.35, 1 Tl 3.61
Tl4 0.0000 0.0000 0.6281  8 Sm 3.34-3.35
Sm1 0.5000 0.5000 0.7556  8 Tl 3.34-3.35
Sm2 0.5000 0.5000 0.2444  8 Tl 3.34-3.35
Sm3 0.5000 0.5000 0.5000  8 Tl 3.35

Below is a relaxed PrZn2Cd crystal, with properties calculated at the GGA-PBE level.

## Properties
formation energy: -0.14 eV per atom
spin magnetization: 0.00 μB per formula unit
DOS(E_F): 0.543 states/eV per atom
energy above the most stable polymorph in this dataset: 177 meV/atom
volume: 22.04 Å³/atom
crystal system: tetragonal

Cell lengths 3.4963, 3.4963, 7.2126 Å; angles 90.00, 90.00, 90.00 degrees
Last column: nearest neighbours and their distance in Å.
Atoms (fractional coordinates):
Zn1 0.0000 0.0000 0.2186  4 Cd 2.93, 1 Zn 3.15, 4 Pr 3.20
Zn2 0.0000 0.0000 0.7814  4 Cd 2.93, 1 Zn 3.15, 4 Pr 3.20
Pr1 0.5000 0.5000 0.5000  8 Zn 3.20, 4 Pr 3.50
Cd1 0.5000 0.5000 0.0000  8 Zn 2.93

Below is a relaxed Rb6PbCl8 crystal, with properties calculated at the GGA-PBE level.

## Properties
spin magnetization: 0.00 μB per formula unit
DOS(E_F): 0.000 states/eV per atom
uncorrected formation energy: -1.774 eV per atom
volume: 35.78 Å³/atom
crystal system: trigonal

Cell lengths 8.6254, 8.6254, 8.6254 Å; angles 68.68, 68.68, 68.68 degrees
Last column: nearest neighbours and their distance in Å.
Atoms (fractional coordinates):
Rb1 0.6918 0.0608 0.4870  7 Cl 3.30-3.56
Rb2 0.4870 0.6918 0.0608  7 Cl 3.30-3.56
Rb3 0.3082 0.9392 0.5130  7 Cl 3.30-3.56
Rb4 0.0608 0.4870 0.6918  7 Cl 3.30-3.56
Rb5 0.9392 0.5130 0.3082  7 Cl 3.30-3.56
Rb6 0.5130 0.3082 0.9392  7 Cl 3.30-3.56
Cl1 0.6597 0.6597 0.6597  6 Rb 3.30-3.44
Cl2 0.8361 0.3216 0.0958  1 Pb 2.89
Cl3 0.3216 0.0958 0.8361  1 Pb 2.89
Cl4 0.9042 0.1639 0.6784  1 Pb 2.89
Cl5 0.6784 0.9042 0.1639  1 Pb 2.89
Cl6 0.1639 0.6784 0.9042  1 Pb 2.89
Cl7 0.3403 0.3403 0.3403  6 Rb 3.30-3.44
Cl8 0.0958 0.8361 0.3216  1 Pb 2.89
Pb1 0.0000 0.0000 0.0000  6 Cl 2.89

Below is a relaxed Mg2AlNi3 crystal, with properties calculated at the GGA-PBE level.

## Properties
formation energy: -0.38 eV per atom
spin magnetization: 0.00 μB per formula unit
DOS(E_F): 0.492 states/eV per atom
energy above the most stable polymorph in this dataset: 3 meV/atom
volume: 13.95 Å³/atom
crystal system: trigonal

Cell lengths 4.7954, 4.7954, 4.7954 Å; angles 63.33, 63.33, 63.33 degrees
Last column: nearest neighbours and their distance in Å.
Atoms (fractional coordinates):
Ni1 0.0000 0.5000 0.0000  2 Al 2.40, 4 Ni 2.52
Ni2 0.5000 0.0000 0.0000  2 Al 2.40, 4 Ni 2.52
Ni3 0.0000 0.0000 0.5000  2 Al 2.40, 4 Ni 2.52
Mg1 0.3765 0.3765 0.3765  9 Ni 2.81-2.89, 4 Mg 2.83-3.07, 3 Al 2.95
Mg2 0.6235 0.6235 0.6235  9 Ni 2.81-2.89, 4 Mg 2.83-3.07, 3 Al 2.95
Al1 0.0000 0.0000 0.0000  6 Ni 2.40

Below is a relaxed VIn3Ni12 crystal, with properties calculated at the GGA-PBE level.

## Properties
formation energy: -0.11 eV per atom
spin magnetization: 0.99 μB per formula unit
DOS(E_F): 1.064 states/eV per atom
volume: 12.60 Å³/atom
crystal system: tetragonal

Cell lengths 3.6910, 3.6910, 14.7954 Å; angles 90.00, 90.00, 90.00 degrees
Last column: nearest neighbours and their distance in Å.
Atoms (fractional coordinates):
Ni1 0.5000 0.5000 0.7573  4 In 2.61, 8 Ni 2.65-2.67
Ni2 0.5000 0.5000 0.5000  4 In 2.61, 8 Ni 2.65
Ni3 0.0000 0.5000 0.1118  2 V 2.48, 8 Ni 2.48-2.67, 2 In 2.69
Ni4 0.5000 0.0000 0.6285  8 Ni 2.61-2.65, 4 In 2.64-2.65
Ni5 0.0000 0.5000 0.8882  2 V 2.48, 8 Ni 2.48-2.67, 2 In 2.69
Ni6 0.5000 0.0000 0.8882  8 Ni 2.48-2.67, 2 V 2.48, 2 In 2.69
Ni7 0.0000 0.5000 0.3715  8 Ni 2.61-2.65, 4 In 2.64-2.65
Ni8 0.0000 0.5000 0.6285  8 Ni 2.61-2.65, 4 In 2.64-2.65
Ni9 0.5000 0.5000 0.0000  8 Ni 2.48, 4 V 2.61
Ni10 0.5000 0.0000 0.1118  8 Ni 2.48-2.67, 2 V 2.48, 2 In 2.69
Ni11 0.5000 0.0000 0.3715  8 Ni 2.61-2.65, 4 In 2.64-2.65
Ni12 0.5000 0.5000 0.2427  4 In 2.61, 8 Ni 2.65-2.67
In1 0.0000 0.0000 0.2438  12 Ni 2.61-2.69
In2 0.0000 0.0000 0.5000  12 Ni 2.61-2.65
In3 0.0000 0.0000 0.7562  12 Ni 2.61-2.69
V1 0.0000 0.0000 0.0000  12 Ni 2.48-2.61